(1)
Li3Ce2SmS6 after structural relaxation. Source: the Alexandria database, functional PBE-GGA.

Symmetry = C2/m, No. 12
Uncorrected formation energy = -1.7474 eV per atom
Final energy = -5.672 eV/atom

POSCAR file:
```
Li3Ce2SmS6
1.0
-0.7884 4.4184 -5.3673
2.8449 -6.3057 -1.0474
-6.2935 -1.7177 1.0289
Li Ce Sm S
3 2 1 6
Direct
0.1643 0.8357 0.5000
0.8357 0.1643 0.5000
0.5000 0.5000 0.5000
0.3331 0.6669 0.0000
0.6669 0.3331 0.0000
0.0000 0.0000 0.0000
0.9145 0.5829 0.7439
0.7534 0.7534 0.2559
0.0855 0.4171 0.2561
0.5829 0.9145 0.7439
0.2466 0.2466 0.7441
0.4171 0.0855 0.2561
```


(2)
LiCe3Sm4S8 after structural relaxation. Source: the Alexandria database, functional PBE-GGA.

Symmetry = R-3m, No. 166
Uncorrected formation energy = -1.9750 eV per atom
Final energy = -6.451 eV/atom

POSCAR file:
```
LiCe3Sm4S8
1.0
-4.5239 5.1794 -4.0893
2.3266 -3.3854 -6.8618
-3.2676 -4.4805 5.7671
Li Ce Sm S
1 3 4 8
Direct
0.0000 0.5000 0.0000
0.5000 0.5000 0.0000
0.5000 0.5000 0.5000
0.0000 0.5000 0.5000
0.5000 0.0000 0.0000
0.5000 0.0000 0.5000
0.0000 0.0000 0.0000
0.0000 0.0000 0.5000
0.2452 0.7461 0.0009
0.2451 0.7460 0.4903
0.2494 0.2483 0.4989
0.7557 0.7461 0.0009
0.2443 0.2539 0.9991
0.7506 0.7517 0.5011
0.7549 0.2540 0.5097
0.7548 0.2539 0.9991
```


(3)
LiCe2Sm3S6 after structural relaxation. Source: the Alexandria database, functional PBE-GGA.

Symmetry = C2/m, No. 12
Uncorrected formation energy = -1.9533 eV per atom
Final energy = -6.345 eV/atom

POSCAR file:
```
LiCe2Sm3S6
1.0
6.9137 -0.0073 -0.0048
-3.4615 5.9848 -0.0048
-1.1563 -2.0022 6.5249
Li Ce Sm S
1 2 3 6
Direct
0.0000 0.0000 0.0000
0.3344 0.6656 0.0000
0.6656 0.3344 0.0000
0.1658 0.8342 0.5000
0.8342 0.1658 0.5000
0.5000 0.5000 0.5000
0.9183 0.5924 0.7538
0.7570 0.7570 0.2450
0.0817 0.4076 0.2462
0.5924 0.9183 0.7538
0.2430 0.2430 0.7550
0.4076 0.0817 0.2462
```


(4)
LiCeSnS3 after structural relaxation. Source: the Alexandria database, functional PBE-GGA.

Symmetry = P2_1/m, No. 11
Uncorrected formation energy = -1.2568 eV per atom
Final energy = -5.296 eV/atom

POSCAR file:
```
LiCeSnS3
1.0
3.8769 0.0000 0.0000
0.0000 8.5742 0.6774
0.0000 -1.5974 8.6679
Li Ce Sn S
2 2 2 6
Direct
0.2500 0.1054 0.5840
0.7500 0.8946 0.4160
0.2500 0.1505 0.2042
0.7500 0.8495 0.7958
0.2500 0.6456 0.1675
0.7500 0.3544 0.8325
0.7500 0.8906 0.1320
0.2500 0.1094 0.8680
0.2500 0.8198 0.5564
0.7500 0.1802 0.4436
0.7500 0.3851 0.1287
0.2500 0.6149 0.8713
```


Number 1: size of the total moment 1.998 μB/cell. Number 2: size of the total moment 2.132 μB/cell. Number 3: size of the total moment 1.517 μB/cell. Number 4: size of the total moment 2.004 μB/cell.